*w*
VASP calculation (PBE) on a relaxed structure of PmSiHO4.

The structure in CIF format:
```
data_PmSiHO4
_chemical_formula_sum 'Pm6 Si6 H6 O24'
_cell_length_a 9.3585
_cell_length_b 9.3585
_cell_length_c 9.3585
_cell_angle_alpha 112.59
_cell_angle_beta 112.59
_cell_angle_gamma 112.59
_symmetry_space_group_name_H-M 'P 1'
_symmetry_Int_Tables_number 1
_symmetry_space_group_name_Hall 'P 1'
loop_
_atom_site_label
_atom_site_fract_x
_atom_site_fract_y
_atom_site_fract_z
Pm1 0.1043 0.5696 0.3631
Pm2 0.3631 0.1043 0.5696
Pm3 0.4304 0.6369 0.8957
Pm4 0.5696 0.3631 0.1043
Pm5 0.6369 0.8957 0.4304
Pm6 0.8957 0.4304 0.6369
Si1 0.1488 0.2408 0.8028
Si2 0.1972 0.8512 0.7592
Si3 0.2408 0.8028 0.1488
Si4 0.7592 0.1972 0.8512
Si5 0.8028 0.1488 0.2408
Si6 0.8512 0.7592 0.1972
H1 0.0652 0.1646 0.3343
H2 0.1646 0.3343 0.0652
H3 0.3343 0.0652 0.1646
H4 0.6657 0.9348 0.8354
H5 0.8354 0.6657 0.9348
H6 0.9348 0.8354 0.6657
O1 0.0149 0.6589 0.9534
O2 0.0458 0.2661 0.3412
O3 0.0466 0.9851 0.3411
O4 0.1133 0.3874 0.7736
O5 0.1982 0.6601 0.7042
O6 0.2264 0.8867 0.6126
O7 0.2661 0.3412 0.0458
O8 0.2958 0.8018 0.3399
O9 0.3399 0.2958 0.8018
O10 0.3412 0.0458 0.2661
O11 0.3411 0.0466 0.9851
O12 0.3874 0.7736 0.1133
O13 0.6126 0.2264 0.8867
O14 0.6589 0.9534 0.0149
O15 0.6588 0.9542 0.7339
O16 0.6601 0.7042 0.1982
O17 0.7042 0.1982 0.6601
O18 0.7339 0.6588 0.9542
O19 0.7736 0.1133 0.3874
O20 0.8018 0.3399 0.2958
O21 0.8867 0.6126 0.2264
O22 0.9534 0.0149 0.6589
O23 0.9542 0.7339 0.6588
O24 0.9851 0.3411 0.0466
```

---

*x*
VASP calculation (PBE) on a relaxed structure of PmSiHO4.

The structure in CIF format:
```
data_PmSiHO4
_chemical_formula_sum 'Pm2 Si2 H2 O8'
_cell_length_a 4.5465
_cell_length_b 6.7149
_cell_length_c 4.9741
_cell_angle_alpha 90.00
_cell_angle_beta 96.99
_cell_angle_gamma 90.00
_symmetry_space_group_name_H-M 'P 1'
_symmetry_Int_Tables_number 1
_symmetry_space_group_name_Hall 'P 1'
loop_
_atom_site_label
_atom_site_fract_x
_atom_site_fract_y
_atom_site_fract_z
Pm1 0.0695 0.2500 0.2070
Pm2 0.9305 0.7500 0.7930
Si1 0.4390 0.7500 0.3009
Si2 0.5610 0.2500 0.6991
H1 0.5000 0.0000 0.0000
H2 0.5000 0.5000 0.0000
O1 0.2039 0.2500 0.7001
O2 0.2941 0.5593 0.1136
O3 0.2941 0.9407 0.1136
O4 0.3732 0.7500 0.6109
O5 0.6268 0.2500 0.3891
O6 0.7059 0.0593 0.8864
O7 0.7059 0.4407 0.8864
O8 0.7961 0.7500 0.2999
```

---

*y*
VASP calculation (PBE) on a relaxed structure of PmSiHO4.

The structure in CIF format:
```
data_PmSiHO4
_chemical_formula_sum 'Pm12 Si12 H12 O48'
_cell_length_a 13.0614
_cell_length_b 15.8746
_cell_length_c 4.3980
_cell_angle_alpha 90.00
_cell_angle_beta 90.00
_cell_angle_gamma 90.00
_symmetry_space_group_name_H-M 'P 1'
_symmetry_Int_Tables_number 1
_symmetry_space_group_name_Hall 'P 1'
loop_
_atom_site_label
_atom_site_fract_x
_atom_site_fract_y
_atom_site_fract_z
Pm1 0.0771 0.0950 0.1633
Pm2 0.0771 0.4050 0.1633
Pm3 0.1068 0.7500 0.3161
Pm4 0.3932 0.2500 0.8161
Pm5 0.4229 0.5950 0.6633
Pm6 0.4229 0.9050 0.6633
Pm7 0.5771 0.0950 0.3367
Pm8 0.5771 0.4050 0.3367
Pm9 0.6068 0.7500 0.1839
Pm10 0.8932 0.2500 0.6839
Pm11 0.9229 0.5950 0.8367
Pm12 0.9229 0.9050 0.8367
Si1 0.1263 0.2500 0.7339
Si2 0.1553 0.5861 0.7285
Si3 0.1553 0.9139 0.7285
Si4 0.3447 0.0861 0.2285
Si5 0.3447 0.4139 0.2285
Si6 0.3737 0.7500 0.2339
Si7 0.6263 0.2500 0.7661
Si8 0.6553 0.5861 0.7715
Si9 0.6553 0.9139 0.7715
Si10 0.8447 0.0861 0.2715
Si11 0.8447 0.4139 0.2715
Si12 0.8737 0.7500 0.2661
H1 0.2154 0.2500 0.3292
H2 0.2406 0.5854 0.1576
H3 0.2406 0.9146 0.1576
H4 0.2594 0.0854 0.6576
H5 0.2594 0.4146 0.6576
H6 0.2846 0.7500 0.8292
H7 0.7154 0.2500 0.1708
H8 0.7406 0.5854 0.3424
H9 0.7406 0.9146 0.3424
H10 0.7594 0.0854 0.8424
H11 0.7594 0.4146 0.8424
H12 0.7846 0.7500 0.6708
O1 0.0580 0.1661 0.6601
O2 0.0580 0.3339 0.6601
O3 0.0736 0.5078 0.7591
O4 0.0736 0.9922 0.7591
O5 0.0845 0.6661 0.8438
O6 0.0845 0.8339 0.8438
O7 0.1410 0.2500 0.0996
O8 0.1960 0.6170 0.3992
O9 0.1960 0.8830 0.3992
O10 0.2366 0.2500 0.5574
O11 0.2387 0.0673 0.4232
O12 0.2387 0.4327 0.4232
O13 0.2613 0.5673 0.9232
O14 0.2613 0.9327 0.9232
O15 0.2634 0.7500 0.0574
O16 0.3040 0.1170 0.8992
O17 0.3040 0.3830 0.8992
O18 0.3590 0.7500 0.5996
O19 0.4155 0.1661 0.3438
O20 0.4155 0.3339 0.3438
O21 0.4264 0.0078 0.2591
O22 0.4264 0.4922 0.2591
O23 0.4420 0.6661 0.1601
O24 0.4420 0.8339 0.1601
O25 0.5580 0.1661 0.8399
O26 0.5580 0.3339 0.8399
O27 0.5736 0.5078 0.7409
O28 0.5736 0.9922 0.7409
O29 0.5845 0.6661 0.6562
O30 0.5845 0.8339 0.6562
O31 0.6410 0.2500 0.4004
O32 0.6960 0.6170 0.1008
O33 0.6960 0.8830 0.1008
O34 0.7366 0.2500 0.9426
O35 0.7387 0.0673 0.0768
O36 0.7387 0.4327 0.0768
O37 0.7613 0.5673 0.5768
O38 0.7613 0.9327 0.5768
O39 0.7634 0.7500 0.4426
O40 0.8040 0.1170 0.6008
O41 0.8040 0.3830 0.6008
O42 0.8590 0.7500 0.9004
O43 0.9155 0.1661 0.1562
O44 0.9155 0.3339 0.1562
O45 0.9264 0.0078 0.2409
O46 0.9264 0.4922 0.2409
O47 0.9420 0.6661 0.3399
O48 0.9420 0.8339 0.3399
```

---

*z*
VASP calculation (PBE) on a relaxed structure of PmSiHO4.

The structure in CIF format:
```
data_PmSiHO4
_chemical_formula_sum 'Pm4 Si4 H4 O16'
_cell_length_a 7.2314
_cell_length_b 6.3542
_cell_length_c 7.0262
_cell_angle_alpha 90.00
_cell_angle_beta 98.70
_cell_angle_gamma 90.00
_symmetry_space_group_name_H-M 'P 1'
_symmetry_Int_Tables_number 1
_symmetry_space_group_name_Hall 'P 1'
loop_
_atom_site_label
_atom_site_fract_x
_atom_site_fract_y
_atom_site_fract_z
Pm1 0.2246 0.1366 0.4905
Pm2 0.2246 0.3634 0.9905
Pm3 0.7754 0.6366 0.0095
Pm4 0.7754 0.8634 0.5095
Si1 0.2488 0.6234 0.4826
Si2 0.2488 0.8766 0.9826
Si3 0.7512 0.1234 0.0174
Si4 0.7512 0.3766 0.5174
H1 0.3939 0.6359 0.8315
H2 0.3939 0.8641 0.3315
H3 0.6061 0.1359 0.6685
H4 0.6061 0.3641 0.1685
O1 0.0766 0.7123 0.9739
O2 0.0766 0.7877 0.4739
O3 0.2366 0.0500 0.8116
O4 0.2366 0.4500 0.3116
O5 0.2895 0.0141 0.1807
O6 0.2895 0.4859 0.6807
O7 0.4294 0.7082 0.9647
O8 0.4294 0.7918 0.4647
O9 0.5706 0.2082 0.5353
O10 0.5706 0.2918 0.0353
O11 0.7105 0.5141 0.3193
O12 0.7105 0.9859 0.8193
O13 0.7634 0.5500 0.6884
O14 0.7634 0.9500 0.1884
O15 0.9234 0.2123 0.5261
O16 0.9234 0.2877 0.0261
```

---

Stability comparison, relative energies in eV/atom: *w* 0.065; *x* 0.023; *y* 0.036; *z* 0.000

---

*w*
VASP calculation (PBE) on a relaxed structure of PmSiHO4.

The structure in CIF format:
```
data_PmSiHO4
_chemical_formula_sum 'Pm16 Si16 H16 O64'
_cell_length_a 7.8171
_cell_length_b 9.0054
_cell_length_c 17.6112
_cell_angle_alpha 90.00
_cell_angle_beta 90.00
_cell_angle_gamma 90.00
_symmetry_space_group_name_H-M 'P 1'
_symmetry_Int_Tables_number 1
_symmetry_space_group_name_Hall 'P 1'
loop_
_atom_site_label
_atom_site_fract_x
_atom_site_fract_y
_atom_site_fract_z
Pm1 0.1246 0.1733 0.1249
Pm2 0.1246 0.3267 0.6249
Pm3 0.1349 0.1856 0.8826
Pm4 0.1349 0.3144 0.3826
Pm5 0.3651 0.6856 0.8826
Pm6 0.3651 0.8144 0.3826
Pm7 0.3754 0.6733 0.1249
Pm8 0.3754 0.8267 0.6249
Pm9 0.6246 0.1733 0.3751
Pm10 0.6246 0.3267 0.8751
Pm11 0.6349 0.1856 0.6174
Pm12 0.6349 0.3144 0.1174
Pm13 0.8651 0.6856 0.6174
Pm14 0.8651 0.8144 0.1174
Pm15 0.8754 0.6733 0.3751
Pm16 0.8754 0.8267 0.8751
Si1 0.0230 0.0200 0.2947
Si2 0.0230 0.4800 0.7947
Si3 0.2454 0.5709 0.5050
Si4 0.2454 0.9291 0.0050
Si5 0.2546 0.0709 0.5050
Si6 0.2546 0.4291 0.0050
Si7 0.4770 0.5200 0.2947
Si8 0.4770 0.9800 0.7947
Si9 0.5230 0.0200 0.2053
Si10 0.5230 0.4800 0.7053
Si11 0.7454 0.5709 0.9950
Si12 0.7454 0.9291 0.4950
Si13 0.7546 0.0709 0.9950
Si14 0.7546 0.4291 0.4950
Si15 0.9770 0.5200 0.2053
Si16 0.9770 0.9800 0.7053
H1 0.0583 0.6351 0.9962
H2 0.0583 0.8649 0.4962
H3 0.1995 0.5920 0.2824
H4 0.1995 0.9080 0.7824
H5 0.3005 0.0920 0.2824
H6 0.3005 0.4080 0.7824
H7 0.4417 0.1351 0.9962
H8 0.4417 0.3649 0.4962
H9 0.5583 0.6351 0.5038
H10 0.5583 0.8649 0.0038
H11 0.6995 0.5920 0.2176
H12 0.6995 0.9080 0.7176
H13 0.8005 0.0920 0.2176
H14 0.8005 0.4080 0.7176
H15 0.9417 0.1351 0.5038
H16 0.9417 0.3649 0.0038
O1 0.0553 0.0034 0.7907
O2 0.0553 0.4966 0.2907
O3 0.0765 0.1700 0.5079
O4 0.0765 0.3300 0.0079
O5 0.0794 0.6354 0.8331
O6 0.0794 0.8646 0.3331
O7 0.0883 0.6262 0.1503
O8 0.0883 0.8738 0.6503
O9 0.1461 0.5982 0.5849
O10 0.1461 0.9018 0.0849
O11 0.1531 0.6118 0.4251
O12 0.1531 0.8882 0.9251
O13 0.1813 0.1429 0.2741
O14 0.1813 0.3571 0.7741
O15 0.2219 0.6081 0.0007
O16 0.2219 0.8919 0.5007
O17 0.2781 0.1081 0.0007
O18 0.2781 0.3919 0.5007
O19 0.3187 0.6429 0.2741
O20 0.3187 0.8571 0.7741
O21 0.3469 0.1118 0.4251
O22 0.3469 0.3882 0.9251
O23 0.3539 0.0982 0.5849
O24 0.3539 0.4018 0.0849
O25 0.4117 0.1262 0.1503
O26 0.4117 0.3738 0.6503
O27 0.4206 0.1354 0.8331
O28 0.4206 0.3646 0.3331
O29 0.4235 0.6700 0.5079
O30 0.4235 0.8300 0.0079
O31 0.4447 0.5034 0.7907
O32 0.4447 0.9966 0.2907
O33 0.5553 0.0034 0.7093
O34 0.5553 0.4966 0.2093
O35 0.5765 0.1700 0.9921
O36 0.5765 0.3300 0.4921
O37 0.5794 0.6354 0.6669
O38 0.5794 0.8646 0.1669
O39 0.5883 0.6262 0.3497
O40 0.5883 0.8738 0.8497
O41 0.6461 0.5982 0.9151
O42 0.6461 0.9018 0.4151
O43 0.6531 0.6118 0.0749
O44 0.6531 0.8882 0.5749
O45 0.6813 0.1429 0.2259
O46 0.6813 0.3571 0.7259
O47 0.7219 0.6081 0.4993
O48 0.7219 0.8919 0.9993
O49 0.7781 0.1081 0.4993
O50 0.7781 0.3919 0.9993
O51 0.8187 0.6429 0.2259
O52 0.8187 0.8571 0.7259
O53 0.8469 0.1118 0.0749
O54 0.8469 0.3882 0.5749
O55 0.8539 0.0982 0.9151
O56 0.8539 0.4018 0.4151
O57 0.9117 0.1262 0.3497
O58 0.9117 0.3738 0.8497
O59 0.9206 0.1354 0.6669
O60 0.9206 0.3646 0.1669
O61 0.9235 0.6700 0.9921
O62 0.9235 0.8300 0.4921
O63 0.9447 0.5034 0.7093
O64 0.9447 0.9966 0.2093
```

---

*x*
VASP calculation (PBE) on a relaxed structure of PmSiHO4.

The structure in CIF format:
```
data_PmSiHO4
_chemical_formula_sum 'Pm4 Si4 H4 O16'
_cell_length_a 9.3155
_cell_length_b 6.5530
_cell_length_c 4.8826
_cell_angle_alpha 90.00
_cell_angle_beta 90.00
_cell_angle_gamma 90.00
_symmetry_space_group_name_H-M 'P 1'
_symmetry_Int_Tables_number 1
_symmetry_space_group_name_Hall 'P 1'
loop_
_atom_site_label
_atom_site_fract_x
_atom_site_fract_y
_atom_site_fract_z
Pm1 0.2110 0.2500 0.1990
Pm2 0.2890 0.7500 0.6990
Pm3 0.7110 0.2500 0.3010
Pm4 0.7890 0.7500 0.8010
Si1 0.0367 0.7500 0.2140
Si2 0.4633 0.2500 0.7140
Si3 0.5367 0.7500 0.2860
Si4 0.9633 0.2500 0.7860
H1 0.0000 0.0000 0.5000
H2 0.0000 0.5000 0.5000
H3 0.5000 0.0000 0.0000
H4 0.5000 0.5000 0.0000
O1 0.0668 0.7500 0.8906
O2 0.1080 0.5530 0.3765
O3 0.1080 0.9470 0.3765
O4 0.1361 0.2500 0.7416
O5 0.3639 0.7500 0.2416
O6 0.3920 0.0530 0.8765
O7 0.3920 0.4470 0.8765
O8 0.4332 0.2500 0.3906
O9 0.5668 0.7500 0.6094
O10 0.6080 0.5530 0.1235
O11 0.6080 0.9470 0.1235
O12 0.6361 0.2500 0.7584
O13 0.8639 0.7500 0.2584
O14 0.8920 0.0530 0.6235
O15 0.8920 0.4470 0.6235
O16 0.9332 0.2500 0.1094
```

---

*y*
VASP calculation (PBE) on a relaxed structure of PmSiHO4.

The structure in CIF format:
```
data_PmSiHO4
_chemical_formula_sum 'Pm4 Si4 H4 O16'
_cell_length_a 7.3164
_cell_length_b 6.7408
_cell_length_c 6.9107
_cell_angle_alpha 90.00
_cell_angle_beta 107.09
_cell_angle_gamma 90.00
_symmetry_space_group_name_H-M 'P 1'
_symmetry_Int_Tables_number 1
_symmetry_space_group_name_Hall 'P 1'
loop_
_atom_site_label
_atom_site_fract_x
_atom_site_fract_y
_atom_site_fract_z
Pm1 0.1782 0.1387 0.1518
Pm2 0.1782 0.3613 0.6518
Pm3 0.8218 0.6387 0.3482
Pm4 0.8218 0.8613 0.8482
Si1 0.2540 0.5964 0.1674
Si2 0.2540 0.9036 0.6674
Si3 0.7460 0.0964 0.3326
Si4 0.7460 0.4036 0.8326
H1 0.4862 0.7067 0.8863
H2 0.4862 0.7933 0.3863
H3 0.5138 0.2067 0.6137
H4 0.5138 0.2933 0.1137
O1 0.1165 0.7150 0.5903
O2 0.1165 0.7850 0.0903
O3 0.1776 0.0504 0.8146
O4 0.1776 0.4496 0.3146
O5 0.2833 0.0499 0.4905
O6 0.2833 0.4501 0.9905
O7 0.4750 0.6817 0.2910
O8 0.4750 0.8183 0.7910
O9 0.5250 0.1817 0.2090
O10 0.5250 0.3183 0.7090
O11 0.7167 0.5499 0.0095
O12 0.7167 0.9501 0.5095
O13 0.8224 0.5504 0.6854
O14 0.8224 0.9496 0.1854
O15 0.8835 0.2150 0.9097
O16 0.8835 0.2850 0.4097
```

---

Stability comparison, relative energies in eV/atom: *w* 0.000; *x* 0.100; *y* 0.017